(1)
First-principles (PBE) data for a geometry-optimized CaZnSn2Au structure, as listed in the Alexandria database.

Unit cell a=5.282 b=5.282 c=4.903 alpha=90.00 beta=90.00 gamma=90.00
Element x y z (fractional)
Ca (0.000, 0.000, 0.000)
Zn (0.500, 0.500, 0.500)
Sn (0.000, 0.500, 0.500)
Sn (0.500, 0.000, 0.500)
Au (0.500, 0.500, 0.000)

Calculated values
Magnetic moment: 0.000 μB per atom
Calculated total energy: -2.949 eV/atom
Calculated volume: 137 Å³ per cell
Mass density: 6553 kg/m3

(2)
First-principles (PBE) data for a geometry-optimized SrCa2Au structure, as listed in the Alexandria database.

Unit cell a=6.930 b=6.930 c=3.846 alpha=104.52 beta=104.52 gamma=120.09
Element x y z (fractional)
Sr (0.000, 0.000, 0.000)
Ca (0.000, 0.500, 0.500)
Ca (0.500, 0.000, 0.500)
Au (0.500, 0.500, 0.000)

Calculated values
Magnetic moment: 0.000 μB per atom
Calculated total energy: -2.334 eV/atom
Calculated volume: 138 Å³ per cell
Relative energy among the computed polymorphs: 0.368 eV per atom
Mass density: 4383 kg/m3

(3)
First-principles (PBE) data for a geometry-optimized Sr2Ca2Au structure, as listed in the Alexandria database.

Unit cell a=7.887 b=7.887 c=6.486 alpha=90.00 beta=90.00 gamma=90.00
Element x y z (fractional)
Sr (0.175, 0.325, 0.000)
Sr (0.325, 0.825, 0.000)
Sr (0.675, 0.175, 0.000)
Sr (0.825, 0.675, 0.000)
Ca (0.162, 0.662, 0.500)
Ca (0.338, 0.162, 0.500)
Ca (0.662, 0.838, 0.500)
Ca (0.838, 0.338, 0.500)
Au (0.000, 0.000, 0.500)
Au (0.500, 0.500, 0.500)

Calculated values
Magnetic moment: 0.000 μB per atom
Calculated total energy: -2.297 eV/atom
Calculated volume: 404 Å³ per cell
Relative energy among the computed polymorphs: 0.145 eV per atom
Mass density: 3723 kg/m3